Record 1
First-principles (PBE) data for an optimized crystal structure of ErLuIrOs, as listed in Alexandria.

Cell: 6.724 6.724 6.724 Å, 90.00 90.00 90.00°
Space group F-43m (No. 216)
Asymmetric unit:
Er1 0.000 0.000 0.000
Lu1 0.000 0.000 0.500
Ir1 0.250 0.250 0.250
Os1 0.250 0.250 0.750

## Properties
volume: 19.00 A^3/atom
E_form: -0.563 eV/atom

---

Record 2
First-principles (PBE) data for an optimized crystal structure of ErLuIrPd, as listed in Alexandria.

Cell: 6.821 6.821 6.821 Å, 90.00 90.00 90.00°
Space group F-43m (No. 216)
Asymmetric unit:
Er1 0.000 0.000 0.000
Lu1 0.000 0.000 0.500
Ir1 0.250 0.250 0.250
Pd1 0.250 0.250 0.750

## Properties
volume: 19.83 A^3/atom
E_form: -0.986 eV/atom

---

Q: Which of these has the lowest E_form?
A: ErLuIrPd

---

Q: Among the records above, which one has the lowest E_form?
A: ErLuIrPd